Entry 1:
# TbSnMo

An optimized crystal structure of TbSnMo (PBE, OQMD).

Cell and atoms, written as CIF:
```
data_TbSnMo
_space_group_name_H-M_alt 'P 1'
_space_group_IT_number 1
_space_group_name_Hall 'P 1'
_cell_length_a 4.753
_cell_length_b 4.753
_cell_length_c 4.753
_cell_angle_alpha 60.00
_cell_angle_beta 60.00
_cell_angle_gamma 60.00
loop_
_atom_site_label
_atom_site_fract_x
_atom_site_fract_y
_atom_site_fract_z
_atom_site_occupancy
Mo1 0.000 0.000 0.000 1
Sn1 0.250 0.250 0.250 1
Tb1 0.750 0.750 0.750 1
```

Calculated values
Its total magnetization is 0.28 μB/atom. As for the energy: -6.07 eV/atom. The space-group type is F-43m, No. 216.



Entry 2:
# La2MgSnAu4

An optimized crystal structure of La2MgSnAu4 (PBE, OQMD).

Cell and atoms, written as CIF:
```
data_La2MgSnAu4
_space_group_name_H-M_alt 'P 1'
_space_group_IT_number 1
_space_group_name_Hall 'P 1'
_cell_length_a 4.827
_cell_length_b 4.827
_cell_length_c 9.529
_cell_angle_alpha 90.00
_cell_angle_beta 90.00
_cell_angle_gamma 120.00
loop_
_atom_site_label
_atom_site_fract_x
_atom_site_fract_y
_atom_site_fract_z
_atom_site_occupancy
Au1 0.667 0.333 0.106 1
Au2 0.667 0.333 0.425 1
Au3 0.333 0.667 0.575 1
Au4 0.333 0.667 0.894 1
La1 0.333 0.667 0.245 1
La2 0.667 0.333 0.755 1
Mg1 0.000 0.000 0.500 1
Sn1 0.000 0.000 0.000 1
```

Calculated values
Its total magnetization is 0.00 μB/atom. As for the energy: -4.32 eV/atom. The space-group type is P-3m1, No. 164.



Entry 3:
# NiHgAsW

An optimized crystal structure of NiHgAsW (PBE, OQMD).

Cell and atoms, written as CIF:
```
data_NiHgAsW
_space_group_name_H-M_alt 'P 1'
_space_group_IT_number 1
_space_group_name_Hall 'P 1'
_cell_length_a 4.604
_cell_length_b 4.604
_cell_length_c 4.604
_cell_angle_alpha 60.00
_cell_angle_beta 60.00
_cell_angle_gamma 60.00
loop_
_atom_site_label
_atom_site_fract_x
_atom_site_fract_y
_atom_site_fract_z
_atom_site_occupancy
As1 0.000 0.000 0.000 1
Hg1 0.250 0.250 0.250 1
Ni1 0.750 0.750 0.750 1
W1 0.500 0.500 0.500 1
```

Calculated values
Its total magnetization is 0.50 μB/atom. As for the energy: -4.85 eV/atom. The space-group type is F-43m, No. 216.



Entry 4:
# KBaHoS3

An optimized crystal structure of KBaHoS3 (PBE, OQMD).

Cell and atoms, written as CIF:
```
data_KBaHoS3
_space_group_name_H-M_alt 'P 1'
_space_group_IT_number 1
_space_group_name_Hall 'P 1'
_cell_length_a 9.729
_cell_length_b 9.729
_cell_length_c 11.694
_cell_angle_alpha 90.00
_cell_angle_beta 90.00
_cell_angle_gamma 155.24
loop_
_atom_site_label
_atom_site_fract_x
_atom_site_fract_y
_atom_site_fract_z
_atom_site_occupancy
Ba1 0.380 0.620 0.250 1
Ba2 0.620 0.380 0.750 1
Ho1 0.000 0.000 0.000 1
Ho2 0.000 0.000 0.500 1
K1 0.615 0.385 0.250 1
K2 0.385 0.615 0.750 1
S1 0.596 0.404 0.000 1
S2 0.992 0.008 0.250 1
S3 0.596 0.404 0.500 1
S4 0.404 0.596 0.500 1
S5 0.008 0.992 0.750 1
S6 0.404 0.596 0.000 1
```

Calculated values
Its total magnetization is 0.00 μB/atom. As for the energy: -4.97 eV/atom. The space-group type is Cmcm, No. 63. The relative energy among the computed polymorphs comes out at 83 kJ/mol of formula units.



Entry 5:
# Cd2AgAu

An optimized crystal structure of Cd2AgAu (PBE, OQMD).

Cell and atoms, written as CIF:
```
data_Cd2AgAu
_space_group_name_H-M_alt 'P 1'
_space_group_IT_number 1
_space_group_name_Hall 'P 1'
_cell_length_a 4.750
_cell_length_b 6.822
_cell_length_c 14.269
_cell_angle_alpha 90.00
_cell_angle_beta 90.00
_cell_angle_gamma 90.00
loop_
_atom_site_label
_atom_site_fract_x
_atom_site_fract_y
_atom_site_fract_z
_atom_site_occupancy
Ag1 0.000 0.000 0.000 1
Ag2 0.500 0.500 0.167 1
Ag3 0.000 0.000 0.333 1
Ag4 0.500 0.500 0.500 1
Ag5 0.000 0.000 0.667 1
Ag6 0.500 0.500 0.833 1
Au1 0.000 0.500 0.000 1
Au2 0.500 0.000 0.167 1
Au3 0.000 0.500 0.333 1
Au4 0.500 0.000 0.500 1
Au5 0.000 0.500 0.667 1
Au6 0.500 0.000 0.833 1
Cd1 0.500 0.250 0.000 1
Cd2 0.500 0.750 0.000 1
Cd3 0.000 0.250 0.167 1
Cd4 0.000 0.750 0.167 1
Cd5 0.500 0.250 0.333 1
Cd6 0.500 0.750 0.333 1
Cd7 0.000 0.250 0.500 1
Cd8 0.000 0.750 0.500 1
Cd9 0.500 0.250 0.667 1
Cd10 0.500 0.750 0.667 1
Cd11 0.000 0.250 0.833 1
Cd12 0.000 0.750 0.833 1
```

Calculated values
The formation energy comes out at -0.582 eV per formula unit. As for the energy: -2.12 eV/atom. The space-group type is I4/mmm, No. 139. The relative energy among the computed polymorphs comes out at 2 kJ/mol of formula units.



Entry 6:
# Nb4TlBiN2

An optimized crystal structure of Nb4TlBiN2 (PBE, OQMD).

Cell and atoms, written as CIF:
```
data_Nb4TlBiN2
_space_group_name_H-M_alt 'P 1'
_space_group_IT_number 1
_space_group_name_Hall 'P 1'
_cell_length_a 3.322
_cell_length_b 3.322
_cell_length_c 13.821
_cell_angle_alpha 90.00
_cell_angle_beta 90.00
_cell_angle_gamma 120.00
loop_
_atom_site_label
_atom_site_fract_x
_atom_site_fract_y
_atom_site_fract_z
_atom_site_occupancy
Bi1 0.667 0.333 0.000 1
N1 0.333 0.667 0.249 1
N2 0.333 0.667 0.751 1
Nb1 0.000 0.000 0.172 1
Nb2 0.667 0.333 0.328 1
Nb3 0.667 0.333 0.672 1
Nb4 0.000 0.000 0.828 1
Tl1 0.000 0.000 0.500 1
```

Calculated values
Its total magnetization is 0.00 μB/atom. As for the energy: -8.29 eV/atom. The space-group type is P-6m2, No. 187.



Entry 7:
# RbReAg3Te4

An optimized crystal structure of RbReAg3Te4 (PBE, OQMD).

Cell and atoms, written as CIF:
```
data_RbReAg3Te4
_space_group_name_H-M_alt 'P 1'
_space_group_IT_number 1
_space_group_name_Hall 'P 1'
_cell_length_a 6.884
_cell_length_b 6.884
_cell_length_c 6.884
_cell_angle_alpha 90.00
_cell_angle_beta 90.00
_cell_angle_gamma 90.00
loop_
_atom_site_label
_atom_site_fract_x
_atom_site_fract_y
_atom_site_fract_z
_atom_site_occupancy
Ag1 0.500 0.500 0.000 1
Ag2 0.500 0.000 0.500 1
Ag3 0.000 0.500 0.500 1
Rb1 0.000 0.000 0.000 1
Re1 0.500 0.500 0.500 1
Te1 0.284 0.284 0.284 1
Te2 0.716 0.716 0.284 1
Te3 0.716 0.284 0.716 1
Te4 0.284 0.716 0.716 1
```

Calculated values
Its total magnetization is 0.01 μB/atom. As for the energy: -3.80 eV/atom. The space-group type is P-43m, No. 215.



Entry 8:
# Cu2Ag3

An optimized crystal structure of Cu2Ag3 (PBE, OQMD).

Cell and atoms, written as CIF:
```
data_Cu2Ag3
_space_group_name_H-M_alt 'P 1'
_space_group_IT_number 1
_space_group_name_Hall 'P 1'
_cell_length_a 4.917
_cell_length_b 4.917
_cell_length_c 8.893
_cell_angle_alpha 90.63
_cell_angle_beta 90.63
_cell_angle_gamma 46.67
loop_
_atom_site_label
_atom_site_fract_x
_atom_site_fract_y
_atom_site_fract_z
_atom_site_occupancy
Ag1 0.449 0.449 0.145 1
Ag2 0.745 0.745 0.242 1
Ag3 0.354 0.354 0.451 1
Ag4 0.646 0.646 0.549 1
Ag5 0.255 0.255 0.758 1
Ag6 0.551 0.551 0.855 1
Cu1 0.150 0.150 0.050 1
Cu2 0.050 0.050 0.348 1
Cu3 0.950 0.950 0.652 1
Cu4 0.850 0.850 0.950 1
```

Calculated values
The formation energy comes out at 0.472 eV per formula unit. As for the energy: -3.09 eV/atom. The space-group type is C2/m, No. 12. The relative energy among the computed polymorphs comes out at 30 kJ/mol of formula units.



Entry 9:
# LiNiPbW

An optimized crystal structure of LiNiPbW (PBE, OQMD).

Cell and atoms, written as CIF:
```
data_LiNiPbW
_space_group_name_H-M_alt 'P 1'
_space_group_IT_number 1
_space_group_name_Hall 'P 1'
_cell_length_a 4.455
_cell_length_b 4.455
_cell_length_c 4.455
_cell_angle_alpha 60.00
_cell_angle_beta 60.00
_cell_angle_gamma 60.00
loop_
_atom_site_label
_atom_site_fract_x
_atom_site_fract_y
_atom_site_fract_z
_atom_site_occupancy
Li1 0.250 0.250 0.250 1
Ni1 0.750 0.750 0.750 1
Pb1 0.000 0.000 0.000 1
W1 0.500 0.500 0.500 1
```

Calculated values
Its total magnetization is 0.70 μB/atom. As for the energy: -5.42 eV/atom. The space-group type is F-43m, No. 216.



Entry 10:
# NdHS3O11

An optimized crystal structure of NdHS3O11 (PBE, OQMD).

Cell and atoms, written as CIF:
```
data_NdHS3O11
_space_group_name_H-M_alt 'P 1'
_space_group_IT_number 1
_space_group_name_Hall 'P 1'
_cell_length_a 8.398
_cell_length_b 10.436
_cell_length_c 11.731
_cell_angle_alpha 90.00
_cell_angle_beta 125.62
_cell_angle_gamma 90.00
loop_
_atom_site_label
_atom_site_fract_x
_atom_site_fract_y
_atom_site_fract_z
_atom_site_occupancy
H1 0.744 0.414 0.188 1
H2 0.256 0.914 0.312 1
H3 0.744 0.086 0.688 1
H4 0.256 0.586 0.812 1
Nd1 0.242 0.330 0.224 1
Nd2 0.758 0.830 0.276 1
Nd3 0.242 0.170 0.724 1
Nd4 0.758 0.670 0.776 1
O1 0.781 0.069 0.007 1
O2 0.908 0.280 0.030 1
O3 0.641 0.882 0.035 1
O4 0.244 0.406 0.036 1
O5 0.697 0.454 0.094 1
O6 0.239 0.131 0.110 1
O7 0.428 0.759 0.160 1
O8 0.167 0.848 0.169 1
O9 0.038 0.505 0.182 1
O10 0.844 0.665 0.191 1
O11 0.539 0.016 0.195 1
O12 0.461 0.516 0.305 1
O13 0.156 0.165 0.309 1
O14 0.962 0.005 0.318 1
O15 0.833 0.348 0.331 1
O16 0.572 0.259 0.340 1
O17 0.761 0.631 0.390 1
O18 0.303 0.954 0.406 1
O19 0.756 0.906 0.464 1
O20 0.359 0.382 0.465 1
O21 0.092 0.780 0.470 1
O22 0.219 0.569 0.493 1
O23 0.781 0.431 0.507 1
O24 0.908 0.220 0.530 1
O25 0.641 0.618 0.535 1
O26 0.244 0.094 0.536 1
O27 0.697 0.046 0.594 1
O28 0.239 0.369 0.610 1
O29 0.428 0.741 0.660 1
O30 0.167 0.652 0.669 1
O31 0.038 0.995 0.682 1
O32 0.844 0.835 0.691 1
O33 0.539 0.484 0.695 1
O34 0.461 0.984 0.805 1
O35 0.156 0.335 0.809 1
O36 0.962 0.495 0.818 1
O37 0.833 0.152 0.831 1
O38 0.572 0.241 0.840 1
O39 0.761 0.869 0.890 1
O40 0.303 0.546 0.906 1
O41 0.756 0.594 0.964 1
O42 0.359 0.118 0.965 1
O43 0.092 0.720 0.970 1
O44 0.219 0.931 0.993 1
S1 0.351 0.060 0.074 1
S2 0.227 0.805 0.083 1
S3 0.840 0.558 0.109 1
S4 0.160 0.058 0.391 1
S5 0.773 0.305 0.417 1
S6 0.649 0.560 0.426 1
S7 0.351 0.440 0.574 1
S8 0.227 0.695 0.583 1
S9 0.840 0.942 0.609 1
S10 0.160 0.442 0.891 1
S11 0.773 0.195 0.917 1
S12 0.649 0.940 0.926 1
```

Calculated values
Its total magnetization is 0.00 μB/atom. As for the energy: -6.36 eV/atom. The space-group type is P2_1/c, No. 14.



Entry 11:
# NaTcAuSe3

An optimized crystal structure of NaTcAuSe3 (PBE, OQMD).

Cell and atoms, written as CIF:
```
data_NaTcAuSe3
_space_group_name_H-M_alt 'P 1'
_space_group_IT_number 1
_space_group_name_Hall 'P 1'
_cell_length_a 13.563
_cell_length_b 3.724
_cell_length_c 10.428
_cell_angle_alpha 90.00
_cell_angle_beta 90.00
_cell_angle_gamma 90.00
loop_
_atom_site_label
_atom_site_fract_x
_atom_site_fract_y
_atom_site_fract_z
_atom_site_occupancy
Au1 0.054 0.250 0.078 1
Au2 0.554 0.250 0.422 1
Au3 0.446 0.750 0.578 1
Au4 0.946 0.750 0.922 1
Na1 0.237 0.750 0.067 1
Na2 0.737 0.750 0.433 1
Na3 0.263 0.250 0.567 1
Na4 0.763 0.250 0.933 1
Se1 0.414 0.250 0.057 1
Se2 0.882 0.750 0.155 1
Se3 0.633 0.250 0.208 1
Se4 0.133 0.250 0.292 1
Se5 0.382 0.750 0.345 1
Se6 0.914 0.250 0.443 1
Se7 0.086 0.750 0.557 1
Se8 0.618 0.250 0.655 1
Se9 0.867 0.750 0.708 1
Se10 0.367 0.750 0.792 1
Se11 0.118 0.250 0.845 1
Se12 0.586 0.750 0.943 1
Tc1 0.505 0.750 0.175 1
Tc2 0.005 0.750 0.325 1
Tc3 0.995 0.250 0.675 1
Tc4 0.495 0.250 0.825 1
```

Calculated values
Its total magnetization is 0.00 μB/atom. As for the energy: -4.55 eV/atom. The space-group type is Pnma, No. 62. The relative energy among the computed polymorphs comes out at 3 kJ/mol of formula units.



Entry 12:
# ScBiW2

An optimized crystal structure of ScBiW2 (PBE, OQMD).

Cell and atoms, written as CIF:
```
data_ScBiW2
_space_group_name_H-M_alt 'P 1'
_space_group_IT_number 1
_space_group_name_Hall 'P 1'
_cell_length_a 4.758
_cell_length_b 4.758
_cell_length_c 4.758
_cell_angle_alpha 60.00
_cell_angle_beta 60.00
_cell_angle_gamma 60.00
loop_
_atom_site_label
_atom_site_fract_x
_atom_site_fract_y
_atom_site_fract_z
_atom_site_occupancy
Bi1 0.500 0.500 0.500 1
Sc1 0.250 0.250 0.250 1
W1 0.000 0.000 0.000 1
W2 0.750 0.750 0.750 1
```

Calculated values
Its total magnetization is 0.00 μB/atom. As for the energy: -8.53 eV/atom. The space-group type is F-43m, No. 216.